DFT (PBE) results for a relaxed structure of KNaThBr6.

Cell and atoms, written as CIF:
```
data_KNaThBr6
_cell_length_a 7.6277
_cell_length_b 7.6277
_cell_length_c 14.3562
_cell_angle_alpha 90.00
_cell_angle_beta 90.00
_cell_angle_gamma 120.00
_space_group_name_H-M_alt 'P -3 1 c'
_space_group_IT_number 163
_space_group_name_Hall '-P 3 2c'
loop_
_atom_site_label
_atom_site_fract_x
_atom_site_fract_y
_atom_site_fract_z
K1 0.0000 0.0000 0.0000
Na1 0.3333 0.6667 0.2500
Th1 0.3333 0.6667 0.7500
Br1 0.0165 0.3712 0.6356
```

Mass density   3.55 Mg/m³
Formation energy without anion corrections   -1.729 eV per atom
Spin magnetization   0.00 Bohr magnetons per cell